Entry 1:
The following is a PBE-GGA calculation of Cu3BrCl3 after structural relaxation, from the Alexandria database.

Calculated values
DOS(E_F)   0.877 states/eV/atom
Excess energy over the best structure of this formula in the dataset   0.26 eV per formula unit
Formation energy without anion corrections   -0.43 eV/atom
Magnetic moment   0.00 μB/f.u.

Structure (extended XYZ):
```
14
Lattice="7.762 0.000 0.000 0.000 6.929 0.000 -3.875 0.000 6.744" Properties=species:S:1:pos:R:3 pbc="T T T"
Cu -0.124 1.732 2.325
Cu -1.935 1.732 5.494
Cu -0.114 5.197 4.421
Cu 4.001 1.732 2.323
Cu 5.822 5.197 1.250
Cu 4.011 5.197 4.419
Br 1.939 1.732 1.130
Br 1.948 5.197 5.615
Cl 0.035 5.197 2.226
Cl -1.933 5.197 5.660
Cl 0.039 1.732 4.519
Cl 3.848 5.197 2.226
Cl 5.820 1.732 1.085
Cl 3.852 1.732 4.519
```

Entry 2:
The following is a PBE-GGA calculation of CuBrCl4 after structural relaxation, from the Alexandria database.

Calculated values
DOS(E_F)   0.485 states/eV/atom
Excess energy over the best structure of this formula in the dataset   0.27 eV per formula unit
Formation energy without anion corrections   -0.15 eV/atom
Magnetic moment   0.92 μB/f.u.

Structure (extended XYZ):
```
6
Lattice="3.523 0.000 0.000 -1.261 6.721 0.000 -1.125 -2.086 7.470" Properties=species:S:1:pos:R:3 pbc="T T T"
Cu 0.000 0.000 0.000
Br -1.192 2.325 3.773
Cl 0.099 0.407 3.450
Cl 0.498 5.237 0.200
Cl 0.640 -0.600 7.295
Cl 1.036 4.247 4.100
```

Entry 3:
The following is a PBE-GGA calculation of Cu3Br3Cl after structural relaxation, from the Alexandria database.

Calculated values
DOS(E_F)   0.786 states/eV/atom
Formation energy without anion corrections   -0.32 eV/atom
Magnetic moment   0.00 μB/f.u.

Structure (extended XYZ):
```
14
Lattice="7.872 0.000 0.000 -3.936 6.817 0.000 0.000 0.000 6.891" Properties=species:S:1:pos:R:3 pbc="T T T"
Cu 0.000 2.287 1.723
Cu -1.955 5.674 1.723
Cu 1.981 1.143 5.168
Cu 1.955 5.674 1.723
Cu 5.891 1.143 5.168
Cu 3.936 4.530 5.168
Br 0.000 2.395 5.168
Br -1.862 5.620 5.168
Br 2.074 1.198 1.723
Br 1.862 5.620 5.168
Br 5.798 1.198 1.723
Br 3.936 4.422 1.723
Cl 0.000 4.545 1.723
Cl 3.936 2.272 5.168
```

Entry 4:
The following is a PBE-GGA calculation of CuBr2Cl2 after structural relaxation, from the Alexandria database.

Calculated values
DOS(E_F)   0.046 states/eV/atom
Excess energy over the best structure of this formula in the dataset   0.42 eV per formula unit
Formation energy without anion corrections   -0.08 eV/atom
Magnetic moment   0.00 μB/f.u.

Structure (extended XYZ):
```
10
Lattice="6.590 0.000 0.000 0.000 6.590 0.000 0.000 0.000 7.938" Properties=species:S:1:pos:R:3 pbc="T T T"
Cu 0.000 0.000 0.000
Cu 3.295 3.295 0.000
Br 1.156 2.139 0.000
Br 2.139 5.434 0.000
Br 4.451 1.156 0.000
Br 5.434 4.451 0.000
Cl 0.706 4.001 3.969
Cl 2.589 0.706 3.969
Cl 4.001 5.884 3.969
Cl 5.884 2.589 3.969
```

Entry 5:
The following is a PBE-GGA calculation of CuBr2Cl6 after structural relaxation, from the Alexandria database.

Calculated values
DOS(E_F)   0.629 states/eV/atom
Formation energy without anion corrections   -0.07 eV/atom
Magnetic moment   1.10 μB/f.u.

Structure (extended XYZ):
```
18
Lattice="7.175 -7.539 0.000 7.175 7.539 0.000 -3.956 0.000 6.769" Properties=species:S:1:pos:R:3 pbc="T T T"
Cu 4.208 4.238 5.077
Cu 6.186 -4.238 1.692
Br 3.917 0.029 1.584
Br 1.939 -0.029 4.968
Br 8.455 0.029 1.801
Br 6.477 -0.029 5.186
Cl 2.158 4.250 4.907
Cl -1.010 0.030 3.672
Cl 0.967 -0.030 0.287
Cl 0.931 1.417 6.720
Cl 6.259 4.250 5.247
Cl 2.909 -1.417 3.335
Cl 7.485 1.417 3.434
Cl 4.136 -4.250 1.523
Cl 9.463 -1.417 0.050
Cl 9.427 0.030 6.482
Cl 11.405 -0.030 3.098
Cl 8.237 -4.250 1.862
```

Entry 6:
The following is a PBE-GGA calculation of Cu5Br12Cl3 after structural relaxation, from the Alexandria database.

Calculated values
DOS(E_F)   1.218 states/eV/atom
Formation energy without anion corrections   0.02 eV/atom
Magnetic moment   0.00 μB/f.u.

Structure (extended XYZ):
```
80
Lattice="-8.297 8.297 8.297 8.297 -8.297 8.297 8.297 8.297 -8.297" Properties=species:S:1:pos:R:3 pbc="T T T"
Cu 0.000 0.000 0.000
Cu 4.148 4.148 -4.148
Cu 4.148 -4.148 4.148
Cu 8.297 0.000 0.000
Cu 12.445 2.074 0.000
Cu 8.297 -4.148 6.222
Cu 6.222 8.297 -4.148
Cu 6.222 0.000 4.148
Cu 4.148 6.222 0.000
Cu 8.297 4.148 2.074
Cu -4.148 4.148 4.148
Cu 0.000 8.297 0.000
Cu 0.000 0.000 8.297
Cu 4.148 4.148 4.148
Cu 0.000 4.148 6.222
Cu 4.148 2.074 8.297
Cu 2.074 8.297 4.148
Cu 2.074 0.000 12.445
Cu 0.000 12.445 2.074
Cu -4.148 6.222 8.297
Br 6.644 -4.496 4.518
Br 14.098 0.370 -0.347
Br 10.792 0.370 0.347
Br 9.950 -3.801 4.518
Br 12.097 3.778 -1.653
Br 8.644 -5.801 7.926
Br 4.518 6.644 -4.496
Br 7.926 -0.347 2.495
Br 7.926 8.644 -5.801
Br 4.518 -1.653 4.496
Br 4.496 4.518 -1.653
Br 7.949 2.495 0.370
Br 12.792 3.778 1.653
Br 7.949 -2.495 7.926
Br 7.926 7.949 -2.495
Br 4.518 1.653 3.801
Br 4.518 9.950 -3.801
Br 7.926 0.347 5.801
Br 3.801 4.518 1.653
Br 8.644 5.801 0.370
Br 2.495 7.926 -0.347
Br 9.950 3.801 3.778
Br 5.801 7.926 0.347
Br 6.644 4.496 3.778
Br 1.653 3.801 4.518
Br 2.495 0.370 7.949
Br -1.653 4.496 4.518
Br 5.801 0.370 8.644
Br -0.347 2.495 7.926
Br 4.496 3.778 6.644
Br 0.370 7.949 2.495
Br 3.778 -1.653 12.097
Br 3.778 6.644 4.496
Br 0.370 0.347 10.792
Br 0.347 10.792 0.370
Br -4.496 4.518 6.644
Br 0.347 5.801 7.926
Br 3.801 3.778 9.950
Br 3.778 9.950 3.801
Br 0.370 -0.347 14.098
Br 0.370 8.644 5.801
Br 3.778 1.653 12.792
Br -0.347 14.098 0.370
Br -3.801 4.518 9.950
Br -1.653 12.097 3.778
Br -2.495 7.926 7.949
Br -5.801 7.926 8.644
Br 1.653 12.792 3.778
Cl 4.148 2.074 0.000
Cl 8.297 4.148 -2.074
Cl 2.074 0.000 4.148
Cl 10.371 0.000 4.148
Cl 0.000 4.148 2.074
Cl 4.148 -2.074 8.297
Cl 4.148 10.371 0.000
Cl 8.297 4.148 6.222
Cl -2.074 8.297 4.148
Cl 6.222 8.297 4.148
Cl 0.000 4.148 10.371
Cl 4.148 6.222 8.297
```

Entry 7:
The following is a PBE-GGA calculation of Cu3BrCl after structural relaxation, from the Alexandria database.

Calculated values
DOS(E_F)   0.540 states/eV/atom
Excess energy over the best structure of this formula in the dataset   0.48 eV per formula unit
Formation energy without anion corrections   0.59 eV/atom
Magnetic moment   0.00 μB/f.u.

Structure (extended XYZ):
```
5
Lattice="4.810 0.000 0.000 0.000 4.810 0.000 0.000 0.000 4.810" Properties=species:S:1:pos:R:3 pbc="T T T"
Cu 0.000 0.000 2.405
Cu 0.000 2.405 0.000
Cu 2.405 0.000 0.000
Br 0.000 0.000 0.000
Cl 2.405 2.405 2.405
```

Entry 8:
The following is a PBE-GGA calculation of CuBrCl4 after structural relaxation, from the Alexandria database.

Calculated values
DOS(E_F)   0.602 states/eV/atom
Excess energy over the best structure of this formula in the dataset   0.00 eV per formula unit
Formation energy without anion corrections   -0.20 eV/atom
Magnetic moment   2.00 μB/f.u.

Structure (extended XYZ):
```
12
Lattice="3.612 -8.654 0.000 3.612 8.654 0.000 -0.472 0.000 6.064" Properties=species:S:1:pos:R:3 pbc="T T T"
Cu 3.258 7.791 4.548
Cu 3.494 -7.791 1.516
Br 3.494 2.554 1.516
Br 3.258 -2.554 4.548
Cl 1.282 2.653 0.661
Cl 1.051 0.781 3.512
Cl 1.287 -0.781 0.480
Cl 1.045 -2.653 3.693
Cl 5.707 2.653 2.371
Cl 5.466 0.781 5.583
Cl 5.702 -0.781 2.551
Cl 5.471 -2.653 5.403
```

Entry 9:
The following is a PBE-GGA calculation of Cu3Br2Cl2 after structural relaxation, from the Alexandria database.

Calculated values
DOS(E_F)   1.402 states/eV/atom
Formation energy without anion corrections   -0.33 eV/atom
Magnetic moment   0.56 μB/f.u.

Structure (extended XYZ):
```
7
Lattice="8.600 -1.934 0.000 8.600 1.934 0.000 -1.280 0.000 6.264" Properties=species:S:1:pos:R:3 pbc="T T T"
Cu 0.000 0.000 0.000
Cu 2.519 0.000 3.131
Cu 13.402 0.000 3.133
Br 4.527 0.000 1.655
Br 11.394 0.000 4.608
Cl 0.562 0.000 2.012
Cl 15.359 0.000 4.252
```

Entry 10:
The following is a PBE-GGA calculation of Cu2Br2Cl after structural relaxation, from the Alexandria database.

Calculated values
DOS(E_F)   0.532 states/eV/atom
Excess energy over the best structure of this formula in the dataset   0.29 eV per formula unit
Formation energy without anion corrections   -0.31 eV/atom
Magnetic moment   0.00 μB/f.u.

Structure (extended XYZ):
```
10
Lattice="6.278 0.000 0.000 1.283 6.153 0.000 1.536 1.983 5.917" Properties=species:S:1:pos:R:3 pbc="T T T"
Cu 0.536 1.158 1.161
Cu 4.666 3.801 4.751
Cu 4.430 4.334 1.166
Cu 8.561 6.977 4.755
Br 3.309 5.625 2.954
Br 2.384 2.869 0.914
Br 6.712 5.267 5.003
Br 5.787 2.511 2.963
Cl 2.910 2.223 5.099
Cl 6.187 5.913 0.818
```

Entry 11:
The following is a PBE-GGA calculation of Cu3BrCl3 after structural relaxation, from the Alexandria database.

Calculated values
DOS(E_F)   1.135 states/eV/atom
Excess energy over the best structure of this formula in the dataset   0.00 eV per formula unit
Formation energy without anion corrections   -0.46 eV/atom
Magnetic moment   0.00 μB/f.u.

Structure (extended XYZ):
```
14
Lattice="10.304 0.000 0.000 -5.152 8.924 0.000 0.000 0.000 3.874" Properties=species:S:1:pos:R:3 pbc="T T T"
Cu -2.247 6.908 0.968
Cu 0.293 3.524 0.968
Cu 3.198 1.508 2.905
Cu 1.954 7.415 0.968
Cu 4.859 5.400 2.905
Cu 7.399 2.016 2.905
Br 0.000 5.949 0.968
Br 5.152 2.975 2.905
Cl -3.313 6.341 2.905
Cl 1.317 2.884 2.905
Cl 3.156 0.301 0.968
Cl 1.996 8.623 2.905
Cl 3.835 6.040 0.968
Cl 8.466 2.583 0.968
```

Entry 12:
The following is a PBE-GGA calculation of Cu4BrCl3 after structural relaxation, from the Alexandria database.

Calculated values
DOS(E_F)   0.091 states/eV/atom
Formation energy without anion corrections   -0.17 eV/atom
Magnetic moment   0.00 μB/f.u.

Structure (extended XYZ):
```
8
Lattice="3.804 0.000 0.000 0.000 3.804 0.000 0.000 0.000 9.873" Properties=species:S:1:pos:R:3 pbc="T T T"
Cu 0.000 0.000 0.000
Cu 0.000 0.000 4.936
Cu 1.902 1.902 2.381
Cu 1.902 1.902 7.492
Br 1.902 1.902 4.936
Cl 0.000 0.000 2.388
Cl 0.000 0.000 7.485
Cl 1.902 1.902 0.000
```